Entry 1:
DFT (PBE) results for crystalline YSb2Au2 at its relaxed geometry.

Calculated values
* calculated volume: 25.3 Å³/atom
* energy: -4.54 eV/atom
* uncorrected formation energy: -0.288 eV/atom
* energy above the lowest structure with this stoichiometry: 142 meV per atom

Lattice parameters (Å, degrees): 4.5435 4.5435 6.9132 70.82 70.82 90.00
Closest atoms and distances in Å follow each position.
Fractional positions:
Au 0.6071 0.6071 0.7858  1 Au 2.62, 4 Sb 2.87
Au 0.3929 0.3929 0.2142  1 Au 2.62, 4 Sb 2.87
Sb 0.2500 0.7500 0.5000  4 Au 2.87
Sb 0.7500 0.2500 0.5000  4 Au 2.87
Y 0.0000 0.0000 0.0000  8 Au 3.47, 8 Sb 3.81

=====

Entry 2:
DFT (PBE) results for crystalline YSbAu2 at its relaxed geometry.

Calculated values
* calculated volume: 23.1 Å³/atom
* energy: -4.80 eV/atom
* uncorrected formation energy: -0.511 eV/atom

Lattice parameters (Å, degrees): 5.9794 5.9794 5.9794 138.87 138.40 59.94
Closest atoms and distances in Å follow each position.
Fractional positions:
Au 0.9924 0.9924 0.0000  2 Au 2.98, 4 Sb 2.99, 2 Y 3.22
Au 0.7877 0.2877 0.5000  2 Au 2.98, 2 Sb 3.00, 4 Y 3.05
Sb 0.4917 0.4917 0.0000  6 Au 2.99-3.00, 2 Y 3.24
Y 0.2282 0.7282 0.5000  6 Au 3.05-3.22, 2 Sb 3.24

=====

Entry 3:
DFT (PBE) results for crystalline YSbAu2 at its relaxed geometry.

Calculated values
* calculated volume: 22.2 Å³/atom
* energy: -4.91 eV/atom
* uncorrected formation energy: -0.629 eV/atom

Lattice parameters (Å, degrees): 5.4586 5.4586 5.4586 131.72 131.63 70.74
Closest atoms and distances in Å follow each position.
Fractional positions:
Sb 0.7500 0.2500 0.5000  8 Au 3.15-3.16, 4 Y 3.16
Au 0.5004 0.5004 0.0000  4 Sb 3.15-3.16, 4 Y 3.15, 4 Au 3.16
Au 0.9996 0.9996 0.0000  4 Sb 3.15-3.16, 4 Y 3.15, 4 Au 3.16
Y 0.2500 0.7500 0.5000  8 Au 3.15, 4 Sb 3.16

=====

Number 1 is which compound? YSb2Au2

=====

Which value of energy does entry 2 give? -4.80 eV/atom

=====

Number 1 is which compound? YSb2Au2